[1]
Density functional theory data (PBE-GGA) for a geometry-optimized KPm2F6 structure.

abc: 9.4580 9.4580 9.4580
angles: 154.73 154.73 36.04
Atoms (fractional coordinates):
K  0.0000  0.0000  0.0000
Pm  0.3370  0.3370  0.0000
Pm  0.6630  0.6630  0.0000
F  0.1057  0.6057  0.5000
F  0.2500  0.7500  0.5000
F  0.3943  0.8943  0.5000
F  0.6057  0.1057  0.5000
F  0.7500  0.2500  0.5000
F  0.8943  0.3943  0.5000

**Formation energy (no corrections)**: -3556 meV/atom
**Calculated total energy**: -5.98 eV per atom
**Space group**: No. 139
**Total magnetic moment**: 0.95 μB per formula unit
**Calculated density**: 4.8 g/cm3

[2]
Density functional theory data (PBE-GGA) for a geometry-optimized CdSiTeI2 structure.

abc: 5.6925 5.6925 5.8226
angles: 90.00 90.00 90.00
Atoms (fractional coordinates):
Cd  0.0000  0.0000  0.0000
Si  0.5000  0.5000  0.5000
Te  0.0000  0.0000  0.5000
I  0.0000  0.5000  0.0000
I  0.5000  0.0000  0.0000

**Formation energy (no corrections)**: 606 meV/atom
**Calculated total energy**: -1.91 eV per atom
**Space group**: No. 123
**Total magnetic moment**: 0.00 μB per formula unit
**Calculated density**: 4.6 g/cm3
**Excess energy over the best structure of this formula in the dataset**: 1.98 eV/f.u.

[3]
Density functional theory data (PBE-GGA) for a geometry-optimized Tl3Rh4 structure.

abc: 5.9007 5.9007 4.6210
angles: 90.00 90.00 120.00
Atoms (fractional coordinates):
Tl  0.0000  0.5000  0.0000
Tl  0.5000  0.0000  0.0000
Tl  0.5000  0.5000  0.0000
Rh  0.0000  0.0000  0.2520
Rh  0.0000  0.0000  0.7480
Rh  0.3333  0.6667  0.5000
Rh  0.6667  0.3333  0.5000

**Calculated total energy**: -4.50 eV per atom
**Space group**: No. 191
**Total magnetic moment**: 0.00 μB per formula unit
**Calculated density**: 12.2 g/cm3
**Formation energy**: 5.0 eV per formula unit